VASP calculation (PBEsol) on a relaxed structure of InGa2SbAs.

a b c (Å): 5.0324 5.0324 5.2980
angles (deg): 90.00 90.00 90.00
Closest atoms and distances in Å follow each position.
Sites, in units of the cell vectors:
In 0.0000 0.0000 0.0000  4 Ga 2.52, 2 As 2.65
Ga 0.0000 0.5000 0.0000  2 In 2.52
Ga 0.5000 0.0000 0.0000  2 In 2.52
Sb 0.5000 0.5000 0.5000  4 As 3.56, 8 Ga 3.65
As 0.0000 0.0000 0.5000  2 In 2.65

Values from the calculation:
Formation energy from raw total energies in eV/f.u.: 3.1



VASP calculation (PBEsol) on a relaxed structure of InGaAs2Se.

a b c (Å): 5.1536 5.1536 5.2969
angles (deg): 90.00 90.00 90.00
Closest atoms and distances in Å follow each position.
Sites, in units of the cell vectors:
In 0.0000 0.0000 0.0000  4 As 2.58, 2 Se 2.65
Ga 0.5000 0.5000 0.5000  4 Se 3.64, 8 As 3.70
As 0.0000 0.5000 0.0000  2 In 2.58
As 0.5000 0.0000 0.0000  2 In 2.58
Se 0.0000 0.0000 0.5000  2 In 2.65

Values from the calculation:
Formation energy from raw total energies in eV/f.u.: 3.6



VASP calculation (PBEsol) on a relaxed structure of InGaAsSe2.

a b c (Å): 5.2544 5.2544 5.1314
angles (deg): 90.00 90.00 90.00
Closest atoms and distances in Å follow each position.
Sites, in units of the cell vectors:
In 0.0000 0.0000 0.0000  2 As 2.57, 4 Se 2.63
Ga 0.5000 0.5000 0.5000  8 Se 3.67, 4 As 3.72
As 0.0000 0.0000 0.5000  2 In 2.57
Se 0.0000 0.5000 0.0000  2 In 2.63
Se 0.5000 0.0000 0.0000  2 In 2.63

Values from the calculation:
Formation energy from raw total energies in eV/f.u.: 2.5



VASP calculation (PBEsol) on a relaxed structure of GaAs2IrO.

a b c (Å): 4.2132 4.2132 4.1396
angles (deg): 90.00 90.00 90.00
Closest atoms and distances in Å follow each position.
Sites, in units of the cell vectors:
Ga 0.0000 0.0000 0.0000  2 O 2.07
As 0.0000 0.5000 0.5000  2 O 2.11
As 0.5000 0.0000 0.5000  2 O 2.11
Ir 0.5000 0.5000 0.0000  8 As 2.95, 4 Ga 2.98
O 0.0000 0.0000 0.5000  2 Ga 2.07, 4 As 2.11

Values from the calculation:
Formation energy from raw total energies in eV/f.u.: 0.9



VASP calculation (PBEsol) on a relaxed structure of GaAs2IrPb.

a b c (Å): 4.8920 4.8920 4.6372
angles (deg): 90.00 90.00 90.00
Closest atoms and distances in Å follow each position.
Sites, in units of the cell vectors:
Ga 0.0000 0.0000 0.0000  2 Ir 2.32, 4 As 2.45
As 0.0000 0.5000 0.0000  2 Ga 2.45
As 0.5000 0.0000 0.0000  2 Ga 2.45
Ir 0.0000 0.0000 0.5000  2 Ga 2.32
Pb 0.5000 0.5000 0.5000  8 As 3.37, 4 Ir 3.46

Values from the calculation:
ΔH_f (0 K) in eV per atom: 0.777



VASP calculation (PBEsol) on a relaxed structure of K2Ga2As3.

a b c (Å): 13.7510 6.7011 15.6004
angles (deg): 90.00 90.42 90.00
Closest atoms and distances in Å follow each position.
Sites, in units of the cell vectors:
K 0.0571 0.0627 0.1009  3 As 3.13-3.23, 2 Ga 3.25-3.29
K 0.0571 0.4373 0.6009  3 As 3.13-3.23, 2 Ga 3.25-3.29
K 0.1533 0.5489 0.0190  5 As 3.21-3.44, 1 Ga 3.56
K 0.1533 0.9511 0.5190  5 As 3.21-3.44, 1 Ga 3.56
K 0.3565 0.0295 0.0054  6 As 3.24-3.57, 1 Ga 3.45
K 0.3565 0.4705 0.5054  6 As 3.24-3.57, 1 Ga 3.45
K 0.4225 0.5337 0.1081  2 Ga 3.23-3.32, 5 As 3.33-3.53
K 0.4225 0.9663 0.6081  2 Ga 3.23-3.32, 5 As 3.33-3.53
K 0.5775 0.0337 0.3919  2 Ga 3.23-3.32, 5 As 3.33-3.53
K 0.5775 0.4663 0.8919  2 Ga 3.23-3.32, 5 As 3.33-3.53
K 0.6435 0.5295 0.4946  6 As 3.24-3.57, 1 Ga 3.45
K 0.6435 0.9705 0.9946  6 As 3.24-3.57, 1 Ga 3.45
K 0.8467 0.0489 0.4810  5 As 3.21-3.44, 1 Ga 3.56
K 0.8467 0.4511 0.9810  5 As 3.21-3.44, 1 Ga 3.56
K 0.9429 0.5627 0.3991  3 As 3.13-3.23, 2 Ga 3.25-3.29
K 0.9429 0.9373 0.8991  3 As 3.13-3.23, 2 Ga 3.25-3.29
Ga 0.0926 0.7439 0.2588  4 As 2.51-2.56
Ga 0.0926 0.7561 0.7588  4 As 2.51-2.56
Ga 0.1851 0.2240 0.3257  4 As 2.45-2.60
Ga 0.1851 0.2760 0.8257  4 As 2.45-2.60
Ga 0.3173 0.7384 0.3192  4 As 2.46-2.52
Ga 0.3173 0.7616 0.8192  4 As 2.46-2.52
Ga 0.4082 0.2112 0.2688  4 As 2.49-2.51
Ga 0.4082 0.2888 0.7688  4 As 2.49-2.51
Ga 0.5918 0.7112 0.2312  4 As 2.49-2.51
Ga 0.5918 0.7888 0.7312  4 As 2.49-2.51
Ga 0.6827 0.2384 0.1808  4 As 2.46-2.52
Ga 0.6827 0.2616 0.6808  4 As 2.46-2.52
Ga 0.8149 0.7240 0.1743  4 As 2.45-2.60
Ga 0.8149 0.7760 0.6743  4 As 2.45-2.60
Ga 0.9074 0.2439 0.2412  4 As 2.51-2.56
Ga 0.9074 0.2561 0.7412  4 As 2.51-2.56
As 0.0256 0.0465 0.3332  3 Ga 2.50-2.53
As 0.0256 0.4535 0.8332  3 Ga 2.50-2.53
As 0.1717 0.5643 0.3820  3 Ga 2.45-2.52
As 0.1717 0.9357 0.8820  3 Ga 2.45-2.52
As 0.2467 0.6641 0.6763  1 As 2.48, 2 Ga 2.51-2.56
As 0.2467 0.8359 0.1763  1 As 2.48, 2 Ga 2.51-2.56
As 0.2551 0.2062 0.1800  2 Ga 2.48-2.51, 1 As 2.48
As 0.2551 0.2938 0.6800  2 Ga 2.48-2.51, 1 As 2.48
As 0.3346 0.0540 0.3980  3 Ga 2.46-2.60
As 0.3346 0.4460 0.8980  3 Ga 2.46-2.60
As 0.4703 0.5387 0.3231  3 Ga 2.49-2.50
As 0.4703 0.9613 0.8231  3 Ga 2.49-2.50
As 0.5297 0.0387 0.1769  3 Ga 2.49-2.50
As 0.5297 0.4613 0.6769  3 Ga 2.49-2.50
As 0.6654 0.5540 0.1020  3 Ga 2.46-2.60
As 0.6654 0.9460 0.6020  3 Ga 2.46-2.60
As 0.7449 0.7062 0.3200  2 Ga 2.48-2.51, 1 As 2.48
As 0.7449 0.7938 0.8200  2 Ga 2.48-2.51, 1 As 2.48
As 0.7533 0.1641 0.8237  1 As 2.48, 2 Ga 2.51-2.56
As 0.7533 0.3359 0.3237  1 As 2.48, 2 Ga 2.51-2.56
As 0.8283 0.0643 0.1180  3 Ga 2.45-2.52
As 0.8283 0.4357 0.6180  3 Ga 2.45-2.52
As 0.9744 0.5465 0.1668  3 Ga 2.50-2.53
As 0.9744 0.9535 0.6668  3 Ga 2.50-2.53

Values from the calculation:
ΔH_f (0 K) in eV per atom: -0.458



VASP calculation (PBEsol) on a relaxed structure of KGa2As2.

a b c (Å): 4.3200 4.3200 13.5082
angles (deg): 90.00 90.00 90.00
Closest atoms and distances in Å follow each position.
Sites, in units of the cell vectors:
K 0.0000 0.0000 0.0000  8 As 3.63, 8 Ga 4.01
K 0.5000 0.5000 0.5000  8 As 3.63, 8 Ga 4.01
Ga 0.0000 0.5000 0.2500  4 As 2.58
Ga 0.0000 0.5000 0.7500  4 As 2.58
Ga 0.5000 0.0000 0.2500  4 As 2.58
Ga 0.5000 0.0000 0.7500  4 As 2.58
As 0.0000 0.0000 0.3550  4 Ga 2.58
As 0.0000 0.0000 0.6450  4 Ga 2.58
As 0.5000 0.5000 0.1450  4 Ga 2.58
As 0.5000 0.5000 0.8550  4 Ga 2.58

Values from the calculation:
ΔH_f (0 K) in eV per atom: -0.333



VASP calculation (PBEsol) on a relaxed structure of K2LiGaAs2.

a b c (Å): 9.8222 9.8222 6.1857
angles (deg): 90.00 90.00 101.80
Closest atoms and distances in Å follow each position.
Sites, in units of the cell vectors:
K 0.0773 0.4227 0.7500  5 As 3.32-3.56, 2 Ga 3.39, 2 Li 3.45
K 0.1713 0.8287 0.7804  5 As 3.27-3.59, 2 Li 3.30, 2 Ga 3.53
K 0.3287 0.6713 0.2804  5 As 3.27-3.59, 2 Li 3.30, 2 Ga 3.53
K 0.4227 0.0773 0.2500  5 As 3.32-3.56, 2 Ga 3.39, 2 Li 3.45
K 0.5773 0.9227 0.7500  5 As 3.32-3.56, 2 Ga 3.39, 2 Li 3.45
K 0.6713 0.3287 0.7196  5 As 3.27-3.59, 2 Li 3.30, 2 Ga 3.53
K 0.8287 0.1713 0.2196  5 As 3.27-3.59, 2 Li 3.30, 2 Ga 3.53
K 0.9227 0.5773 0.2500  5 As 3.32-3.56, 2 Ga 3.39, 2 Li 3.45
Li 0.1200 0.1200 0.0000  4 As 2.65-2.72
Li 0.3800 0.3800 0.5000  4 As 2.65-2.72
Li 0.6200 0.6200 0.5000  4 As 2.65-2.72
Li 0.8800 0.8800 0.0000  4 As 2.65-2.72
Ga 0.1317 0.1317 0.5000  4 As 2.53-2.57
Ga 0.3683 0.3683 0.0000  4 As 2.53-2.57
Ga 0.6317 0.6317 0.0000  4 As 2.53-2.57
Ga 0.8683 0.8683 0.5000  4 As 2.53-2.57
As 0.0934 0.9066 0.2870  2 Ga 2.53, 2 Li 2.72
As 0.1562 0.3438 0.2500  2 Ga 2.57, 2 Li 2.65
As 0.3438 0.1562 0.7500  2 Ga 2.57, 2 Li 2.65
As 0.4066 0.5934 0.7870  2 Ga 2.53, 2 Li 2.72
As 0.5934 0.4066 0.2130  2 Ga 2.53, 2 Li 2.72
As 0.6562 0.8438 0.2500  2 Ga 2.57, 2 Li 2.65
As 0.8438 0.6562 0.7500  2 Ga 2.57, 2 Li 2.65
As 0.9066 0.0934 0.7130  2 Ga 2.53, 2 Li 2.72

Values from the calculation:
ΔH_f (0 K) in eV per atom: -0.587



VASP calculation (PBEsol) on a relaxed structure of KGaAs2O7.

a b c (Å): 6.3055 6.4077 8.2249
angles (deg): 96.38 104.11 103.60
Closest atoms and distances in Å follow each position.
Sites, in units of the cell vectors:
K 0.0000 0.0000 0.0000  6 O 2.81-2.83
K 0.0000 0.0000 0.5000  4 O 2.74-2.78
Ga 0.3753 0.6922 0.2238  6 O 1.95-2.01
Ga 0.6247 0.3078 0.7762  6 O 1.95-2.01
As 0.1730 0.4656 0.8097  4 O 1.68-1.80
As 0.4828 0.2463 0.3347  4 O 1.68-1.79
As 0.5172 0.7537 0.6653  4 O 1.68-1.79
As 0.8270 0.5344 0.1903  4 O 1.68-1.80
O 0.0934 0.6997 0.2834  1 As 1.70
O 0.2050 0.6549 0.9794  1 As 1.68
O 0.2285 0.6157 0.6449  2 As 1.79-1.80
O 0.3083 0.3767 0.2197  1 As 1.70
O 0.3348 0.2872 0.8313  1 As 1.70
O 0.4249 0.0012 0.2108  1 As 1.68
O 0.4426 0.2368 0.5300  1 As 1.69
O 0.5574 0.7632 0.4700  1 As 1.69
O 0.5751 0.9988 0.7892  1 As 1.68
O 0.6652 0.7128 0.1687  1 As 1.70
O 0.6917 0.6233 0.7803  1 As 1.70
O 0.7715 0.3843 0.3551  2 As 1.79-1.80
O 0.7950 0.3451 0.0206  1 As 1.68
O 0.9066 0.3003 0.7166  1 As 1.70

Values from the calculation:
Formation energy from raw total energies in eV/f.u.: -16.6



VASP calculation (PBEsol) on a relaxed structure of K2ScGaAs.

a b c (Å): 6.2846 6.2846 4.8410
angles (deg): 90.00 90.00 90.00
Closest atoms and distances in Å follow each position.
Sites, in units of the cell vectors:
K 0.0000 0.5000 0.0000  2 Ga 3.14
K 0.5000 0.0000 0.0000  2 Ga 3.14
Sc 0.0000 0.0000 0.5000  8 K 3.97
Ga 0.5000 0.5000 0.0000  2 As 2.42
As 0.5000 0.5000 0.5000  2 Ga 2.42

Values from the calculation:
ΔH_f (0 K) in eV per atom: 0.594



VASP calculation (PBEsol) on a relaxed structure of KGaAs2Se.

a b c (Å): 5.3661 5.3661 5.4639
angles (deg): 90.00 90.00 90.00
Closest atoms and distances in Å follow each position.
Sites, in units of the cell vectors:
K 0.0000 0.0000 0.0000  4 As 2.68, 2 Se 2.73
Ga 0.5000 0.5000 0.5000  4 Se 3.79, 8 As 3.83
As 0.0000 0.5000 0.0000  2 K 2.68
As 0.5000 0.0000 0.0000  2 K 2.68
Se 0.0000 0.0000 0.5000  2 K 2.73

Values from the calculation:
Formation energy from raw total energies in eV/f.u.: 6.5



VASP calculation (PBEsol) on a relaxed structure of Li3GaAs.

a b c (Å): 4.7336 4.7336 4.7336
angles (deg): 90.00 90.00 90.00
Closest atoms and distances in Å follow each position.
Sites, in units of the cell vectors:
Li 0.0000 0.0000 0.5000  2 As 2.37
Li 0.0000 0.5000 0.0000  2 As 2.37
Li 0.5000 0.0000 0.0000  2 As 2.37
Ga 0.5000 0.5000 0.5000  12 Li 3.35
As 0.0000 0.0000 0.0000  6 Li 2.37

Values from the calculation:
ΔH_f (0 K) in eV per atom: -0.168



VASP calculation (PBEsol) on a relaxed structure of LiGaAs3.

a b c (Å): 4.9057 4.9057 4.9057
angles (deg): 90.00 90.00 90.00
Closest atoms and distances in Å follow each position.
Sites, in units of the cell vectors:
Li 0.0000 0.0000 0.0000  12 As 3.47
Ga 0.5000 0.5000 0.5000  6 As 2.45
As 0.0000 0.5000 0.5000  2 Ga 2.45
As 0.5000 0.0000 0.5000  2 Ga 2.45
As 0.5000 0.5000 0.0000  2 Ga 2.45

Values from the calculation:
ΔH_f (0 K) in eV per atom: 0.467



VASP calculation (PBEsol) on a relaxed structure of Na2LiGaAs2.

a b c (Å): 9.2150 9.2150 5.8445
angles (deg): 90.00 90.00 98.84
Closest atoms and distances in Å follow each position.
Sites, in units of the cell vectors:
Na 0.0722 0.4278 0.7500  5 As 3.01-3.16, 2 Ga 3.22, 2 Li 3.28
Na 0.1759 0.8241 0.7794  5 As 3.04-3.15, 2 Li 3.13, 2 Ga 3.35
Na 0.3241 0.6759 0.2794  5 As 3.04-3.15, 2 Li 3.13, 2 Ga 3.35
Na 0.4278 0.0722 0.2500  5 As 3.01-3.16, 2 Ga 3.22, 2 Li 3.28
Na 0.5722 0.9278 0.7500  5 As 3.01-3.16, 2 Ga 3.22, 2 Li 3.28
Na 0.6759 0.3241 0.7206  5 As 3.04-3.15, 2 Li 3.13, 2 Ga 3.35
Na 0.8241 0.1759 0.2206  5 As 3.04-3.15, 2 Li 3.13, 2 Ga 3.35
Na 0.9278 0.5722 0.2500  5 As 3.01-3.16, 2 Ga 3.22, 2 Li 3.28
Li 0.1194 0.1194 0.0000  4 As 2.61-2.64, 1 Li 2.86, 2 Ga 2.93
Li 0.3806 0.3806 0.5000  4 As 2.61-2.64, 1 Li 2.86, 2 Ga 2.93
Li 0.6194 0.6194 0.5000  4 As 2.61-2.64, 1 Li 2.86, 2 Ga 2.93
Li 0.8806 0.8806 0.0000  4 As 2.61-2.64, 1 Li 2.86, 2 Ga 2.93
Ga 0.1315 0.1315 0.5000  4 As 2.52-2.53
Ga 0.3685 0.3685 0.0000  4 As 2.52-2.53
Ga 0.6315 0.6315 0.0000  4 As 2.52-2.53
Ga 0.8685 0.8685 0.5000  4 As 2.52-2.53
As 0.1068 0.8932 0.2813  2 Ga 2.52, 2 Li 2.64
As 0.1429 0.3571 0.2500  2 Ga 2.53, 2 Li 2.61
As 0.3571 0.1429 0.7500  2 Ga 2.53, 2 Li 2.61
As 0.3932 0.6068 0.7813  2 Ga 2.52, 2 Li 2.64
As 0.6068 0.3932 0.2187  2 Ga 2.52, 2 Li 2.64
As 0.6429 0.8571 0.2500  2 Ga 2.53, 2 Li 2.61
As 0.8571 0.6429 0.7500  2 Ga 2.53, 2 Li 2.61
As 0.8932 0.1068 0.7187  2 Ga 2.52, 2 Li 2.64

Values from the calculation:
ΔH_f (0 K) in eV per atom: -0.554



VASP calculation (PBEsol) on a relaxed structure of LiGaAsSe2.

a b c (Å): 4.7255 4.7255 4.4867
angles (deg): 90.00 90.00 90.00
Closest atoms and distances in Å follow each position.
Sites, in units of the cell vectors:
Li 0.0000 0.0000 0.0000  2 As 2.24, 4 Se 2.36
Ga 0.5000 0.5000 0.5000  8 Se 3.26, 4 As 3.34
As 0.0000 0.0000 0.5000  2 Li 2.24
Se 0.0000 0.5000 0.0000  2 Li 2.36
Se 0.5000 0.0000 0.0000  2 Li 2.36

Values from the calculation:
Formation energy from raw total energies in eV/f.u.: 1.4



VASP calculation (PBEsol) on a relaxed structure of LiGa2SnAs.

a b c (Å): 4.6787 4.6787 4.6361
angles (deg): 90.00 90.00 90.00
Closest atoms and distances in Å follow each position.
Sites, in units of the cell vectors:
Li 0.0000 0.0000 0.0000  2 As 2.32, 4 Ga 2.34
Ga 0.0000 0.5000 0.0000  2 Li 2.34
Ga 0.5000 0.0000 0.0000  2 Li 2.34
Sn 0.5000 0.5000 0.5000  8 Ga 3.29, 4 As 3.31
As 0.0000 0.0000 0.5000  2 Li 2.32

Values from the calculation:
ΔH_f (0 K) in eV per atom: 0.203



VASP calculation (PBEsol) on a relaxed structure of LiYGa2As.

a b c (Å): 4.9709 4.9709 5.2885
angles (deg): 90.00 90.00 90.00
Closest atoms and distances in Å follow each position.
Sites, in units of the cell vectors:
Li 0.0000 0.0000 0.0000  4 Y 3.51, 8 Ga 3.63
Y 0.5000 0.5000 0.0000  2 As 2.64
Ga 0.0000 0.5000 0.5000  2 As 2.49
Ga 0.5000 0.0000 0.5000  2 As 2.49
As 0.5000 0.5000 0.5000  4 Ga 2.49, 2 Y 2.64

Values from the calculation:
ΔH_f (0 K) in eV per atom: 0.104



VASP calculation (PBEsol) on a relaxed structure of MgGaAs3.

a b c (Å): 4.9352 4.9352 4.9352
angles (deg): 90.00 90.00 90.00
Closest atoms and distances in Å follow each position.
Sites, in units of the cell vectors:
Mg 0.0000 0.0000 0.0000  6 As 2.47
Ga 0.5000 0.5000 0.5000  12 As 3.49
As 0.0000 0.0000 0.5000  2 Mg 2.47
As 0.0000 0.5000 0.0000  2 Mg 2.47
As 0.5000 0.0000 0.0000  2 Mg 2.47

Values from the calculation:
ΔH_f (0 K) in eV per atom: 0.688



VASP calculation (PBEsol) on a relaxed structure of Mg2GaNiAs.

a b c (Å): 4.8283 4.8283 4.9321
angles (deg): 90.00 90.00 90.00
Closest atoms and distances in Å follow each position.
Sites, in units of the cell vectors:
Mg 0.0000 0.5000 0.0000  2 As 2.41
Mg 0.5000 0.0000 0.0000  2 As 2.41
Ga 0.0000 0.0000 0.5000  2 As 2.47
Ni 0.5000 0.5000 0.5000  4 Ga 3.41, 8 Mg 3.45
As 0.0000 0.0000 0.0000  4 Mg 2.41, 2 Ga 2.47

Values from the calculation:
ΔH_f (0 K) in eV per atom: 0.620



VASP calculation (PBEsol) on a relaxed structure of MgGa2AsRu.

a b c (Å): 4.6671 4.6671 4.9766
angles (deg): 90.00 90.00 90.00
Closest atoms and distances in Å follow each position.
Sites, in units of the cell vectors:
Mg 0.0000 0.0000 0.0000  2 Ru 2.49
Ga 0.0000 0.5000 0.5000  2 Ru 2.33
Ga 0.5000 0.0000 0.5000  2 Ru 2.33
As 0.5000 0.5000 0.0000  4 Mg 3.30, 8 Ga 3.41
Ru 0.0000 0.0000 0.5000  4 Ga 2.33, 2 Mg 2.49

Values from the calculation:
ΔH_f (0 K) in eV per atom: 0.369